The following is a PBE calculation of a relaxed structure of PmRu2W, from Alexandria.

Results
Crystal system   tetragonal
E   -36.28 eV per formula unit

a b c (Å): 3.1319 3.1319 7.4098
angles (deg): 90.00 90.00 90.00
Space group P4/mmm (No. 123)
Symmetry-distinct sites (fractional):
Pm  0.0000  0.0000  0.0000
Ru  0.5000  0.5000  0.3020
W  0.0000  0.0000  0.5000

The following is a PBE calculation of a relaxed structure of Er4HfSc6, from Alexandria.

Results
Crystal system   tetragonal
E   -64.67 eV per formula unit

a b c (Å): 8.3733 8.3733 8.2221
angles (deg): 90.00 90.00 90.00
Space group P4/mnc (No. 128)
Symmetry-distinct sites (fractional):
Er  0.1492  0.3508  0.2500
Hf  0.0000  0.0000  0.0000
Sc  0.0000  0.0000  0.3339
Sc  0.1506  0.6510  0.0000

The following is a PBE calculation of a relaxed structure of HfV2In, from Alexandria.

Results
Crystal system   tetragonal
E   -30.27 eV per formula unit

a b c (Å): 4.3671 4.3671 3.6444
angles (deg): 90.00 90.00 90.00
Space group P4/mmm (No. 123)
Symmetry-distinct sites (fractional):
Hf  0.0000  0.0000  0.0000
V  0.0000  0.5000  0.5000
In  0.5000  0.5000  0.0000

Number 1: V 18.171 Å³ per atom. Number 2: V 26.203 Å³ per atom. Number 3: V 17.376 Å³ per atom.